# 1
Computed, not measured: a geometry-optimized TaBeSbMo structure at the PBE level of DFT.

Its space group is F-43m. For the offset from the most stable computed form, the calculation gives 0.1058 eV/atom. The size of the total moment comes out at 0.01 μB per formula unit.

The structure in POSCAR format:
```
TaBeSbMo
1.0
-0.306 -4.362 1.107
-3.256 -1.395 2.793
-3.410 -2.494 -1.579
Mo Sb Be Ta
1 1 1 1
Direct
0.000 0.000 0.000
0.250 0.250 0.250
0.750 0.750 0.750
0.500 0.500 0.500
```

---

# 2
Computed, not measured: a geometry-optimized TePd structure at the PBE level of DFT.

Its space group is Pmmn. As for the energy: -8.74 eV/f.u.

The structure in POSCAR format:
```
TePd
1.0
-2.704 0.503 -1.550
-2.176 -0.777 3.544
0.302 6.788 1.673
Te Pd
2 2
Direct
0.000 0.000 0.710
0.500 0.500 0.290
0.000 0.500 0.931
0.500 0.000 0.069
```

---

# 3
Computed, not measured: a geometry-optimized SmGaPbSe3 structure at the PBE level of DFT.

Its space group is Cmcm. The size of the total moment comes out at 0.01 μB per formula unit. As for the energy: -26.96 eV/f.u.

The structure in POSCAR format:
```
SmGaPbSe3
1.0
-3.954 4.865 -3.924
3.033 -1.505 6.575
8.949 4.837 -3.020
Sm Ga Se Pb
2 2 6 2
Direct
0.000 0.000 0.500
0.000 0.000 0.000
0.539 0.461 0.250
0.461 0.539 0.750
0.905 0.095 0.250
0.358 0.642 0.540
0.358 0.642 0.960
0.642 0.358 0.460
0.095 0.905 0.750
0.642 0.358 0.040
0.739 0.261 0.750
0.261 0.739 0.250
```

---

# 4
Computed, not measured: a geometry-optimized Ho6CoBi2 structure at the PBE level of DFT.

Its space group is P-62m. The size of the total moment comes out at 0.72 μB per formula unit. As for the energy: -46.89 eV/f.u.

The structure in POSCAR format:
```
Ho6CoBi2
1.0
8.332 0.000 0.000
-4.166 7.216 0.000
0.000 0.000 4.061
Ho Co Bi
6 1 2
Direct
0.769 0.769 0.000
0.231 0.000 0.000
0.000 0.605 0.500
0.395 0.395 0.500
0.605 0.000 0.500
0.000 0.231 0.000
0.000 0.000 0.500
0.333 0.667 0.000
0.667 0.333 0.000
```

---

# 5
Computed, not measured: a geometry-optimized BeInSnIr structure at the PBE level of DFT.

Its space group is F-43m. For the offset from the most stable computed form, the calculation gives 0.0000 eV/atom. The size of the total moment comes out at 0.00 μB per formula unit.

The structure in POSCAR format:
```
BeInSnIr
1.0
0.000 3.269 3.269
3.269 0.000 3.269
3.269 3.269 0.000
Sn Be In Ir
1 1 1 1
Direct
0.500 0.500 0.500
0.750 0.750 0.750
0.000 0.000 0.000
0.250 0.250 0.250
```

---

# 6
Computed, not measured: a geometry-optimized TlFePdW structure at the PBE level of DFT.

Its space group is F-43m. For the offset from the most stable computed form, the calculation gives 0.1640 eV/atom. The size of the total moment comes out at 1.69 μB per formula unit.

The structure in POSCAR format:
```
TlFePdW
1.0
-1.327 -0.838 4.255
-2.614 2.989 2.190
-4.339 -0.991 0.868
Pd Fe Tl W
1 1 1 1
Direct
0.500 0.500 0.500
0.750 0.750 0.750
0.000 0.000 0.000
0.250 0.250 0.250
```

---

# 7
Computed, not measured: a geometry-optimized Al8Co5 structure at the PBE level of DFT.

Its space group is R-3m. For the offset from the most stable computed form, the calculation gives 0.1413 eV/atom. The size of the total moment comes out at 2.32 μB per formula unit.

The structure in POSCAR format:
```
Al8Co5
1.0
-8.536 0.472 2.418
-5.956 1.927 6.304
-6.821 5.042 2.641
Al Co
8 5
Direct
0.592 0.097 0.097
0.167 0.167 0.167
0.833 0.833 0.833
0.097 0.592 0.097
0.903 0.903 0.408
0.903 0.408 0.903
0.097 0.097 0.592
0.408 0.903 0.903
0.653 0.653 0.653
0.548 0.548 0.548
0.000 0.000 0.000
0.347 0.347 0.347
0.452 0.452 0.452
```

---

# 8
Computed, not measured: a geometry-optimized UTlCd structure at the PBE level of DFT.

Its space group is F-43m. The size of the total moment comes out at 2.92 μB per formula unit. As for the energy: -12.05 eV/f.u.

The structure in POSCAR format:
```
UTlCd
1.0
0.000 3.609 3.609
3.609 0.000 3.609
3.609 3.609 0.000
U Tl Cd
1 1 1
Direct
0.000 0.000 0.000
0.750 0.750 0.750
0.250 0.250 0.250
```

---

# 9
Computed, not measured: a geometry-optimized CsGdHgS3 structure at the PBE level of DFT.

Its space group is P2_1/m. The size of the total moment comes out at 0.00 μB per formula unit. As for the energy: -25.69 eV/f.u.

The structure in POSCAR format:
```
CsGdHgS3
1.0
-2.094 4.311 -7.757
3.375 -1.672 -1.840
-4.479 -9.326 0.257
S Gd Hg Cs
6 2 2 2
Direct
0.620 0.250 0.371
0.380 0.750 0.629
0.024 0.250 0.357
0.280 0.250 0.944
0.720 0.750 0.056
0.976 0.750 0.643
0.829 0.750 0.368
0.171 0.250 0.632
0.590 0.250 0.121
0.410 0.750 0.879
0.731 0.250 0.751
0.269 0.750 0.249
```

---

# 10
Computed, not measured: a geometry-optimized Ba2CoSbS6 structure at the PBE level of DFT.

Its space group is Fm-3m. The size of the total moment comes out at 1.31 μB per formula unit. As for the energy: -47.80 eV/f.u.

The structure in POSCAR format:
```
Ba2CoSbS6
1.0
6.875 0.640 0.265
-3.098 -5.322 3.135
0.240 0.282 -6.900
S Ba Sb Co
6 2 1 1
Direct
0.735 0.000 0.735
0.735 0.000 0.265
0.265 0.000 0.735
0.265 0.000 0.265
0.735 0.470 0.735
0.265 0.530 0.265
0.750 0.500 0.250
0.250 0.500 0.750
0.000 0.000 0.000
0.500 0.000 0.500
```

---

# 11
Computed, not measured: a geometry-optimized NaDyZnTe3 structure at the PBE level of DFT.

Its space group is Cmcm. For the offset from the most stable computed form, the calculation gives 0.0000 eV/atom. The size of the total moment comes out at 0.00 μB per formula unit.

The structure in POSCAR format:
```
NaDyZnTe3
1.0
2.147 -7.389 0.000
2.147 7.389 0.000
0.000 0.000 11.596
Na Te Dy Zn
2 6 2 2
Direct
0.764 0.236 0.750
0.236 0.764 0.250
0.361 0.639 0.567
0.639 0.361 0.433
0.639 0.361 0.067
0.083 0.917 0.750
0.917 0.083 0.250
0.361 0.639 0.933
0.000 0.000 0.000
0.000 0.000 0.500
0.469 0.531 0.750
0.531 0.469 0.250
```

---

# 12
Computed, not measured: a geometry-optimized Tm2IBrN structure at the PBE level of DFT.

Its space group is P3m1. The size of the total moment comes out at 0.00 μB per formula unit. As for the energy: -28.19 eV/f.u.

The structure in POSCAR format:
```
Tm2IBrN
1.0
3.663 0.000 0.000
-1.832 3.173 0.000
0.000 0.000 10.356
Tm N I Br
2 1 1 1
Direct
0.667 0.333 0.124
0.000 0.000 0.884
0.333 0.667 0.006
0.667 0.333 0.677
0.000 0.000 0.308
```

---

# 13
Computed, not measured: a geometry-optimized RbBaTmSe3 structure at the PBE level of DFT.

Its space group is Pnma. For the offset from the most stable computed form, the calculation gives 0.0000 eV/atom. The size of the total moment comes out at 0.00 μB per formula unit.

The structure in POSCAR format:
```
RbBaTmSe3
1.0
13.329 0.000 0.000
0.000 4.278 0.000
0.000 0.000 14.089
Ba Rb Tm Se
4 4 4 12
Direct
0.372 0.750 0.418
0.628 0.250 0.582
0.128 0.250 0.918
0.872 0.750 0.082
0.882 0.750 0.428
0.618 0.250 0.928
0.382 0.750 0.072
0.118 0.250 0.572
0.896 0.750 0.757
0.604 0.250 0.257
0.396 0.750 0.743
0.104 0.250 0.243
0.634 0.750 0.129
0.123 0.750 0.102
0.866 0.250 0.629
0.366 0.250 0.871
0.902 0.250 0.245
0.402 0.250 0.255
0.377 0.250 0.602
0.623 0.750 0.398
0.134 0.750 0.371
0.598 0.750 0.745
0.877 0.250 0.898
0.098 0.750 0.755
```

---

no.,calculated density (Mg/m³)
1,10.4
2,8.3
3,6.7
4,10.0
5,10.3
6,13.9
7,4.9
8,9.8
9,5.3
10,4.6
11,5.7
12,7.7
13,5.2